(1)
# In3Se, relaxed, DFT GGA-PBE
data_In3Se
_chemical_formula_sum 'In12 Se4'
_cell_length_a 7.580
_cell_length_b 7.580
_cell_length_c 7.580
_cell_angle_alpha 90.00
_cell_angle_beta 90.00
_cell_angle_gamma 90.00
_symmetry_space_group_name_H-M 'F m -3 m'
_symmetry_Int_Tables_number 225
_symmetry_space_group_name_Hall '-F 4 2 3'
loop_
_atom_site_label
_atom_site_type_symbol
_atom_site_fract_x
_atom_site_fract_y
_atom_site_fract_z
_atom_site_occupancy
In1 In 0.000 0.000 0.000 1
In2 In 0.250 0.250 0.250 1
Se1 Se 0.000 0.000 0.500 1
# size of the total moment: 0.00 μB per cell
# formation energy from raw total energies: -0.0129 eV/atom
# mass density: 6.46 Mg/m³


(2)
# In3Se, relaxed, DFT GGA-PBE
data_In3Se
_chemical_formula_sum 'In6 Se2'
_cell_length_a 6.157
_cell_length_b 9.368
_cell_length_c 3.902
_cell_angle_alpha 90.00
_cell_angle_beta 90.00
_cell_angle_gamma 90.00
_symmetry_space_group_name_H-M 'C m m m'
_symmetry_Int_Tables_number 65
_symmetry_space_group_name_Hall '-C 2 2'
loop_
_atom_site_label
_atom_site_type_symbol
_atom_site_fract_x
_atom_site_fract_y
_atom_site_fract_z
_atom_site_occupancy
In1 In 0.000 0.000 0.000 1
In2 In 0.000 0.272 0.500 1
Se1 Se 0.000 0.500 0.000 1
# size of the total moment: 0.00 μB per cell
# formation energy from raw total energies: -0.1705 eV/atom
# mass density: 6.25 Mg/m³


(3)
# In3Se, relaxed, DFT GGA-PBE
data_In3Se
_chemical_formula_sum 'In3 Se1'
_cell_length_a 3.849
_cell_length_b 3.849
_cell_length_c 7.136
_cell_angle_alpha 90.00
_cell_angle_beta 90.00
_cell_angle_gamma 90.00
_symmetry_space_group_name_H-M 'P 4/m m m'
_symmetry_Int_Tables_number 123
_symmetry_space_group_name_Hall '-P 4 2'
loop_
_atom_site_label
_atom_site_type_symbol
_atom_site_fract_x
_atom_site_fract_y
_atom_site_fract_z
_atom_site_occupancy
In1 In 0.000 0.000 0.000 1
In2 In 0.500 0.500 0.272 1
Se1 Se 0.000 0.000 0.500 1
# size of the total moment: 0.00 μB per cell
# formation energy from raw total energies: -0.1429 eV/atom
# mass density: 6.65 Mg/m³


(4)
# InSe3, relaxed, DFT GGA-PBE
data_InSe3
_chemical_formula_sum 'In2 Se6'
_cell_length_a 5.430
_cell_length_b 6.649
_cell_length_c 7.195
_cell_angle_alpha 71.26
_cell_angle_beta 84.93
_cell_angle_gamma 72.27
_symmetry_space_group_name_H-M 'P 1'
_symmetry_Int_Tables_number 1
loop_
_symmetry_equiv_pos_as_xyz
'x,y,z'
loop_
_atom_site_label
_atom_site_type_symbol
_atom_site_fract_x
_atom_site_fract_y
_atom_site_fract_z
_atom_site_occupancy
In1 In 0.000 0.000 0.000 1
In2 In 0.364 0.435 0.806 1
Se1 Se 0.016 0.633 0.330 1
Se2 Se 0.202 0.902 0.667 1
Se3 Se 0.451 0.479 0.424 1
Se4 Se 0.483 0.032 0.068 1
Se5 Se 0.838 0.952 0.481 1
Se6 Se 0.854 0.436 0.910 1
# size of the total moment: 0.00 μB per cell
# formation energy from raw total energies: -0.1913 eV/atom
# mass density: 4.99 Mg/m³


(5)
# In4Se, relaxed, DFT GGA-PBE
data_In4Se
_chemical_formula_sum 'In8 Se2'
_cell_length_a 6.386
_cell_length_b 3.688
_cell_length_c 12.632
_cell_angle_alpha 90.00
_cell_angle_beta 90.25
_cell_angle_gamma 90.00
_symmetry_space_group_name_H-M 'C 1 2/m 1'
_symmetry_Int_Tables_number 12
loop_
_symmetry_equiv_pos_as_xyz
'x,y,z'
'-x,-y,-z'
'-x,y,-z'
'x,-y,z'
'x+1/2,y+1/2,z'
'-x+1/2,-y+1/2,-z'
'-x+1/2,y+1/2,-z'
'x+1/2,-y+1/2,z'
loop_
_atom_site_label
_atom_site_type_symbol
_atom_site_fract_x
_atom_site_fract_y
_atom_site_fract_z
_atom_site_occupancy
In1 In 0.165 0.000 0.346 1
In2 In 0.168 0.000 0.101 1
Se1 Se 0.000 0.500 0.500 1
# size of the total moment: 0.00 μB per cell
# distance to the lowest polymorph of the same formula: 0.0474 eV/atom
# formation energy from raw total energies: -0.0600 eV/atom
# mass density: 6.01 Mg/m³


(6)
# InSe3, relaxed, DFT GGA-PBE
data_InSe3
_chemical_formula_sum 'In1 Se3'
_cell_length_a 4.366
_cell_length_b 4.366
_cell_length_c 5.556
_cell_angle_alpha 90.00
_cell_angle_beta 90.00
_cell_angle_gamma 90.00
_symmetry_space_group_name_H-M 'P 4/m m m'
_symmetry_Int_Tables_number 123
_symmetry_space_group_name_Hall '-P 4 2'
loop_
_atom_site_label
_atom_site_type_symbol
_atom_site_fract_x
_atom_site_fract_y
_atom_site_fract_z
_atom_site_occupancy
In1 In 0.000 0.000 0.000 1
Se1 Se 0.000 0.000 0.500 1
Se2 Se 0.500 0.500 0.211 1
# size of the total moment: 0.00 μB per cell
# formation energy from raw total energies: 0.2040 eV/atom
# mass density: 5.51 Mg/m³


(7)
# InSe3, relaxed, DFT GGA-PBE
data_InSe3
_chemical_formula_sum 'In2 Se6'
_cell_length_a 4.299
_cell_length_b 7.533
_cell_length_c 6.942
_cell_angle_alpha 90.00
_cell_angle_beta 90.00
_cell_angle_gamma 90.00
_symmetry_space_group_name_H-M 'I m m 2'
_symmetry_Int_Tables_number 44
loop_
_symmetry_equiv_pos_as_xyz
'x,y,z'
'-x,-y,z'
'-x,y,z'
'x,-y,z'
'x+1/2,y+1/2,z+1/2'
'-x+1/2,-y+1/2,z+1/2'
'-x+1/2,y+1/2,z+1/2'
'x+1/2,-y+1/2,z+1/2'
loop_
_atom_site_label
_atom_site_type_symbol
_atom_site_fract_x
_atom_site_fract_y
_atom_site_fract_z
_atom_site_occupancy
In1 In 0.000 0.000 0.000 1
Se1 Se 0.000 0.270 0.302 1
Se2 Se 0.000 0.500 0.059 1
# size of the total moment: 0.00 μB per cell
# formation energy from raw total energies: -0.0716 eV/atom
# mass density: 5.20 Mg/m³


(8)
# InSe8, relaxed, DFT GGA-PBE
data_InSe8
_chemical_formula_sum 'In2 Se16'
_cell_length_a 8.037
_cell_length_b 8.037
_cell_length_c 8.177
_cell_angle_alpha 90.00
_cell_angle_beta 90.00
_cell_angle_gamma 90.00
_symmetry_space_group_name_H-M 'I 4/m m m'
_symmetry_Int_Tables_number 139
_symmetry_space_group_name_Hall '-I 4 2'
loop_
_atom_site_label
_atom_site_type_symbol
_atom_site_fract_x
_atom_site_fract_y
_atom_site_fract_z
_atom_site_occupancy
In1 In 0.000 0.000 0.000 1
Se1 Se 0.000 0.337 0.000 1
Se2 Se 0.160 0.160 0.500 1
# size of the total moment: 0.00 μB per cell
# formation energy from raw total energies: 0.1330 eV/atom
# mass density: 4.69 Mg/m³